1.
! KAgOs2 | Alexandria | PBE | relaxed; values from VASP
&SYSTEM
  ibrav = 0, nat = 4, ntyp = 3
/
ATOMIC_SPECIES
Ag 107.87 Ag.upf
Os 190.23 Os.upf
K 39.10 K.upf
ATOMIC_POSITIONS angstrom
Ag 1.4482 -1.4541 4.5974
Os 0.0975 -0.0979 0.3097
Os 1.6407 -1.6507 1.6694
K 3.2406 -3.2570 6.7483
CELL_PARAMETERS angstrom
-0.7520 -2.6061 -0.5874
2.6107 0.7332 -0.5905
3.0456 -3.0579 9.6684
! Calculated volume = 18.124 Å³/atom
! E_form = 0.93 eV per atom
! Space group = Cmm2 (35)
! Polymorph energy (0 for the lowest one) = 300.3 meV/atom
! DOS(E_F) = 3.988 states/eV per cell
! E = -5.67 eV per atom

***

2.
! KAgOs2 | Alexandria | PBE | relaxed; values from VASP
&SYSTEM
  ibrav = 0, nat = 4, ntyp = 3
/
ATOMIC_SPECIES
Ag 107.87 Ag.upf
K 39.10 K.upf
Os 190.23 Os.upf
ATOMIC_POSITIONS angstrom
Ag -3.9524 3.0169 3.5817
K -1.8737 1.5763 1.4595
Os -5.9039 4.7382 4.9715
Os -2.7094 -0.3834 6.4585
CELL_PARAMETERS angstrom
-1.3568 4.1823 0.0408
-3.4055 2.6282 -0.9109
-2.9184 -0.5072 7.1105
! Calculated volume = 22.011 Å³/atom
! E_form = 0.77 eV per atom
! Space group = Cm (8)
! Polymorph energy (0 for the lowest one) = 137.4 meV/atom
! DOS(E_F) = 3.337 states/eV per cell
! E = -5.83 eV per atom

***

3.
! KAgOs2 | Alexandria | PBE | relaxed; values from VASP
&SYSTEM
  ibrav = 0, nat = 4, ntyp = 3
/
ATOMIC_SPECIES
Os 190.23 Os.upf
Ag 107.87 Ag.upf
K 39.10 K.upf
ATOMIC_POSITIONS angstrom
Os 1.5062 -4.0480 2.1965
Os 0.0906 -0.2435 0.1321
Ag -0.9568 -2.4897 1.7340
K 0.6399 -6.7811 4.0626
CELL_PARAMETERS angstrom
-1.4352 0.6288 2.1429
-2.0752 -1.3167 -1.0035
3.1936 -8.5828 4.6573
! Calculated volume = 18.101 Å³/atom
! E_form = 1.18 eV per atom
! Space group = P4/mmm (123)
! Polymorph energy (0 for the lowest one) = 551.7 meV/atom
! DOS(E_F) = 5.094 states/eV per cell
! E = -5.42 eV per atom